First-principles (PBEsol) data for a geometry-optimized LiFePH2O5 structure, as listed in Alexandria.

a b c (Å): 5.5135 4.7472 8.1856
angles (deg): 90.00 99.96 90.00
With the nearest neighbours (Å) after each atom.
Space group P2_1 (No. 4)
Asymmetric unit:
Li (0.0422, 0.0000, 0.3868) (multiplicity 2)  3 O 1.86-1.99
Fe (0.2652, 0.4231, 0.0167) (multiplicity 2)  3 O 1.97-2.09
P (0.1812, 0.0076, 0.7801) (multiplicity 2)  4 O 1.52-1.58
H (0.2596, 0.9221, 0.1756) (multiplicity 2)  1 O 0.99
H (0.4955, 0.0966, 0.2515) (multiplicity 2)  1 O 1.00
O (0.0106, 0.6239, 0.1139) (multiplicity 2)  1 P 1.58
O (0.1143, 0.1243, 0.6058) (multiplicity 2)  1 P 1.52
O (0.2019, 0.6831, 0.7859) (multiplicity 2)  1 P 1.55
O (0.3113, 0.1043, 0.2296) (multiplicity 2)  2 H 0.99-1.00
O (0.4290, 0.1341, 0.8769) (multiplicity 2)  1 P 1.57

Calculated values
Total magnetization, μB/atom: 0.40
Electronic total energy, eV/atom: -6.59


First-principles (PBEsol) data for a geometry-optimized UO2 structure, as listed in Alexandria.

a b c (Å): 5.3504 5.3504 5.3504
angles (deg): 90.00 90.00 90.00
With the nearest neighbours (Å) after each atom.
Space group Fm-3m (No. 225)
Asymmetric unit:
U (0.0000, 0.0000, 0.0000) (multiplicity 4)  8 O 2.32
O (0.2500, 0.2500, 0.2500) (multiplicity 8)  4 U 2.32

Calculated values
Raw formation energy, eV/atom: -3.25
Total magnetization, μB/atom: 0.67